Material: SbPt2Au
Method: DFT, PBEsol
State: optimized geometry

For the total magnetic moment, the calculation gives 0.0 μB/f.u. For the formation energy from raw total energies, the calculation gives 0.016 eV/atom. As for the calculated volume: 18.9 Å³ per atom. The final energy comes out at -5.59 eV per atom.

It has space group R3m (No. 160, hexagonal axes), with a = 4.0450 Å, b = 4.0450 Å, c = 15.9805 Å, α = 90.00°, β = 90.00° and γ = 120.00°. The distinct sites, in fractional coordinates, are Sb at (0.0000, 0.0000, 0.0000), Pt at (0.0000, 0.0000, 0.4868), Pt at (0.0000, 0.0000, 0.7455) and Au at (0.0000, 0.0000, 0.2350).